Version a
Computed, not measured: a geometry-optimized Cd2GaC structure at the GGA-PBE level of DFT.

Lattice parameters (Å, degrees): 6.067 6.067 10.531 90.00 90.00 90.00
Space group I-42d (No. 122)
Symmetry-distinct sites (fractional):
Cd (0.127, 0.250, 0.125) x8
Ga (0.000, 0.000, 0.500) x4
C (0.000, 0.000, 0.000) x4

## Properties
The crystal system is tetragonal. The total magnetization is 0.00 μB per formula unit.

***

Version b
Computed, not measured: a geometry-optimized Cd2GaC structure at the GGA-PBE level of DFT.

Lattice parameters (Å, degrees): 6.562 6.562 6.562 90.00 90.00 90.00
Space group Fm-3m (No. 225)
Symmetry-distinct sites (fractional):
Cd (0.250, 0.250, 0.250) x8
Ga (0.000, 0.000, 0.000) x4
C (0.000, 0.000, 0.500) x4

## Properties
The crystal system is cubic. The total magnetization is 0.00 μB per formula unit.

***

It turns out version a is the most stable, with the second structure 0.184 eV/atom higher.

***

Version a
Computed, not measured: a geometry-optimized CdGa2C structure at the GGA-PBE level of DFT.

Lattice parameters (Å, degrees): 6.499 6.499 6.499 90.00 90.00 90.00
Space group Fm-3m (No. 225)
Symmetry-distinct sites (fractional):
Cd (0.000, 0.000, 0.000) x4
Ga (0.250, 0.250, 0.250) x8
C (0.000, 0.000, 0.500) x4

## Properties
The crystal system is cubic. The total magnetization is 0.00 μB per formula unit.

***

Version b
Computed, not measured: a geometry-optimized CdGa2C structure at the GGA-PBE level of DFT.

Lattice parameters (Å, degrees): 5.880 5.880 8.516 90.00 90.00 90.00
Space group I-42d (No. 122)
Symmetry-distinct sites (fractional):
Cd (0.000, 0.000, 0.000) x4
Ga (0.141, 0.250, 0.625) x8
C (0.000, 0.000, 0.500) x4

## Properties
The crystal system is tetragonal. The total magnetization is 0.00 μB per formula unit.

***

It turns out version b is the most stable, with the second structure 0.810 eV/atom higher.

***

Version a
Computed, not measured: a geometry-optimized CdGaC3 structure at the GGA-PBE level of DFT.

Lattice parameters (Å, degrees): 4.332 4.332 4.332 90.00 90.00 90.00
Space group Pm-3m (No. 221)
Symmetry-distinct sites (fractional):
Cd (0.000, 0.000, 0.000) x1
Ga (0.500, 0.500, 0.500) x1
C (0.000, 0.000, 0.500) x3

## Properties
The crystal system is cubic. The total magnetization is 0.97 μB per formula unit.

***

Version b
Computed, not measured: a geometry-optimized CdGaC3 structure at the GGA-PBE level of DFT.

Lattice parameters (Å, degrees): 4.071 4.071 4.071 90.00 90.00 90.00
Space group Pm-3m (No. 221)
Symmetry-distinct sites (fractional):
Cd (0.000, 0.000, 0.000) x1
Ga (0.500, 0.500, 0.500) x1
C (0.000, 0.500, 0.500) x3

## Properties
The crystal system is cubic. The total magnetization is 0.00 μB per formula unit.

***

It turns out version b is the most stable, with the second structure 0.690 eV/atom higher.

***

Version a
Computed, not measured: a geometry-optimized CdGaC2S structure at the GGA-PBE level of DFT.

Lattice parameters (Å, degrees): 3.709 3.709 5.791 90.00 90.00 90.00
Space group P4/mmm (No. 123)
Symmetry-distinct sites (fractional):
Cd (0.000, 0.000, 0.000) x1
Ga (0.500, 0.500, 0.000) x1
C (0.000, 0.500, 0.500) x2
S (0.000, 0.000, 0.500) x1

## Properties
The crystal system is tetragonal. The total magnetization is 0.00 μB per formula unit.

***

Version b
Computed, not measured: a geometry-optimized CdGaC2S structure at the GGA-PBE level of DFT.

Lattice parameters (Å, degrees): 3.804 3.804 8.883 90.00 90.00 90.00
Space group P4/mmm (No. 123)
Symmetry-distinct sites (fractional):
Cd (0.000, 0.000, 0.000) x1
Ga (0.000, 0.000, 0.500) x1
C (0.000, 0.500, 0.500) x2
S (0.500, 0.500, 0.000) x1

## Properties
The crystal system is tetragonal. The total magnetization is 0.53 μB per formula unit.

***

It turns out version b is the most stable, with the second structure 0.175 eV/atom higher.

***

Version a
Computed, not measured: a geometry-optimized CdGeC3 structure at the GGA-PBE level of DFT.

Lattice parameters (Å, degrees): 4.032 4.032 4.032 90.00 90.00 90.00
Space group Pm-3m (No. 221)
Symmetry-distinct sites (fractional):
Cd (0.000, 0.000, 0.000) x1
Ge (0.500, 0.500, 0.500) x1
C (0.000, 0.500, 0.500) x3

## Properties
The crystal system is cubic. The total magnetization is 0.00 μB per formula unit.

***

Version b
Computed, not measured: a geometry-optimized CdGeC3 structure at the GGA-PBE level of DFT.

Lattice parameters (Å, degrees): 4.321 4.321 4.321 90.00 90.00 90.00
Space group Pm-3m (No. 221)
Symmetry-distinct sites (fractional):
Cd (0.000, 0.000, 0.000) x1
Ge (0.500, 0.500, 0.500) x1
C (0.000, 0.000, 0.500) x3

## Properties
The crystal system is cubic. The total magnetization is 1.35 μB per formula unit.

***

It turns out version a is the most stable, with the second structure 0.829 eV/atom higher.

***

Version a
Computed, not measured: a geometry-optimized Cd2Ge2C structure at the GGA-PBE level of DFT.

Lattice parameters (Å, degrees): 4.442 4.442 11.319 90.00 90.00 90.00
Space group I4/mmm (No. 139)
Symmetry-distinct sites (fractional):
Cd (0.000, 0.500, 0.250) x4
Ge (0.000, 0.000, 0.104) x4
C (0.000, 0.000, 0.500) x2

## Properties
The crystal system is tetragonal. The total magnetization is 1.18 μB per formula unit.

***

Version b
Computed, not measured: a geometry-optimized Cd2Ge2C structure at the GGA-PBE level of DFT.

Lattice parameters (Å, degrees): 5.719 5.719 6.023 90.00 90.00 90.00
Space group P4/mbm (No. 127)
Symmetry-distinct sites (fractional):
Cd (0.184, 0.316, 0.000) x4
Ge (0.165, 0.665, 0.500) x4
C (0.000, 0.000, 0.500) x2

## Properties
The crystal system is tetragonal. The total magnetization is 0.00 μB per formula unit.

***

It turns out version b is the most stable, with the second structure 0.664 eV/atom higher.

***

Version a
Computed, not measured: a geometry-optimized CdGePb2C structure at the GGA-PBE level of DFT.

Lattice parameters (Å, degrees): 5.341 5.341 4.180 90.00 90.00 90.00
Space group P4/mmm (No. 123)
Symmetry-distinct sites (fractional):
Cd (0.000, 0.000, 0.000) x1
Ge (0.500, 0.500, 0.000) x1
Pb (0.000, 0.500, 0.500) x2
C (0.000, 0.000, 0.500) x1

## Properties
The crystal system is tetragonal. The total magnetization is 0.00 μB per formula unit.

***

Version b
Computed, not measured: a geometry-optimized CdGePb2C structure at the GGA-PBE level of DFT.

Lattice parameters (Å, degrees): 5.918 5.918 3.934 90.00 90.00 90.00
Space group P4/mmm (No. 123)
Symmetry-distinct sites (fractional):
Cd (0.000, 0.000, 0.000) x1
Ge (0.500, 0.500, 0.500) x1
Pb (0.000, 0.500, 0.000) x2
C (0.000, 0.000, 0.500) x1

## Properties
The crystal system is tetragonal. The total magnetization is 0.00 μB per formula unit.

***

It turns out version a is the most stable, with the second structure 0.412 eV/atom higher.

***

Version a
Computed, not measured: a geometry-optimized HfCdC3 structure at the GGA-PBE level of DFT.

Lattice parameters (Å, degrees): 4.133 4.133 4.133 90.00 90.00 90.00
Space group Pm-3m (No. 221)
Symmetry-distinct sites (fractional):
Hf (0.000, 0.000, 0.000) x1
Cd (0.500, 0.500, 0.500) x1
C (0.000, 0.500, 0.500) x3

## Properties
The crystal system is cubic. The total magnetization is 0.00 μB per formula unit.

***

Version b
Computed, not measured: a geometry-optimized HfCdC3 structure at the GGA-PBE level of DFT.

Lattice parameters (Å, degrees): 4.324 4.324 4.324 90.00 90.00 90.00
Space group Pm-3m (No. 221)
Symmetry-distinct sites (fractional):
Hf (0.000, 0.000, 0.000) x1
Cd (0.500, 0.500, 0.500) x1
C (0.000, 0.000, 0.500) x3

## Properties
The crystal system is cubic. The total magnetization is 0.00 μB per formula unit.

***

It turns out version b is the most stable, with the second structure 0.749 eV/atom higher.